[1]
VASP calculation (PBEsol) on Ca2TlIr after structural relaxation. Values from VASP.

Cell and atoms, written as Quantum ESPRESSO input:
```
&SYSTEM
  ibrav = 0, nat = 4, ntyp = 3
/
ATOMIC_SPECIES
Ca 40.08 Ca.upf
Tl 204.38 Tl.upf
Ir 192.22 Ir.upf
CELL_PARAMETERS angstrom
4.824 0.000 0.000
0.000 4.824 0.000
0.000 0.000 3.843
ATOMIC_POSITIONS crystal
Ca 0.000 0.500 0.000
Ca 0.500 0.000 0.000
Tl 0.000 0.000 0.500
Ir 0.500 0.500 0.500
```

symmetry = P4/mmm (123)
energy of formation = -172 meV per atom
raw total energy = -17.41 eV for the cell shown
total magnetic moment = 0.000 μB per formula unit



[2]
VASP calculation (PBEsol) on MgCd2Cu after structural relaxation. Values from VASP.

Cell and atoms, written as Quantum ESPRESSO input:
```
&SYSTEM
  ibrav = 0, nat = 4, ntyp = 3
/
ATOMIC_SPECIES
Mg 24.30 Mg.upf
Cd 112.41 Cd.upf
Cu 63.55 Cu.upf
CELL_PARAMETERS angstrom
4.957 -1.693 0.000
4.957 1.693 0.000
-1.841 0.000 4.199
ATOMIC_POSITIONS crystal
Mg 0.000 0.000 0.000
Cd 0.228 0.228 0.725
Cd 0.462 0.462 0.460
Cu 0.733 0.733 0.227
```

symmetry = Cm (8)
energy of formation = -2 meV per atom
raw total energy = -8.45 eV for the cell shown
total magnetic moment = 0.000 μB per formula unit



[3]
VASP calculation (PBEsol) on BeIr2O after structural relaxation. Values from VASP.

Cell and atoms, written as Quantum ESPRESSO input:
```
&SYSTEM
  ibrav = 0, nat = 8, ntyp = 3
/
ATOMIC_SPECIES
Be 9.01 Be.upf
Ir 192.22 Ir.upf
O 16.00 O.upf
CELL_PARAMETERS angstrom
-2.471 2.471 4.427
2.471 -2.471 4.427
2.471 2.471 -4.427
ATOMIC_POSITIONS crystal
Be 0.000 0.000 0.000
Be 0.750 0.250 0.500
Ir 0.147 0.625 0.022
Ir 0.375 0.397 0.522
Ir 0.603 0.125 0.978
Ir 0.875 0.853 0.478
O 0.250 0.750 0.500
O 0.500 0.500 0.000
```

ΔE_f (raw) = 0.646 eV per atom
symmetry = I-42d (122)
raw total energy = -52.63 eV for the cell shown
total magnetic moment = 0.000 μB per formula unit



[4]
VASP calculation (PBEsol) on MgCdAg2 after structural relaxation. Values from VASP.

Cell and atoms, written as Quantum ESPRESSO input:
```
&SYSTEM
  ibrav = 0, nat = 4, ntyp = 3
/
ATOMIC_SPECIES
Mg 24.30 Mg.upf
Cd 112.41 Cd.upf
Ag 107.87 Ag.upf
CELL_PARAMETERS angstrom
3.405 0.000 0.000
0.000 3.405 0.000
0.000 0.000 6.250
ATOMIC_POSITIONS crystal
Mg 0.000 0.000 0.000
Cd 0.500 0.500 0.716
Ag 0.000 0.000 0.472
Ag 0.500 0.500 0.229
```

symmetry = P4mm (99)
energy of formation = -130 meV per atom
raw total energy = -10.06 eV for the cell shown
total magnetic moment = 0.000 μB per formula unit



[5]
VASP calculation (PBEsol) on Y4Mg5 after structural relaxation. Values from VASP.

Cell and atoms, written as Quantum ESPRESSO input:
```
&SYSTEM
  ibrav = 0, nat = 9, ntyp = 2
/
ATOMIC_SPECIES
Y 88.91 Y.upf
Mg 24.30 Mg.upf
CELL_PARAMETERS angstrom
-4.915 4.915 2.483
4.915 -4.915 2.483
4.915 4.915 -2.483
ATOMIC_POSITIONS crystal
Y 0.000 0.325 0.325
Y 0.000 0.675 0.675
Y 0.325 0.000 0.325
Y 0.675 0.000 0.675
Mg 0.000 0.000 0.000
Mg 0.338 0.338 0.676
Mg 0.338 0.662 0.000
Mg 0.662 0.338 0.000
Mg 0.662 0.662 0.324
```

symmetry = I4/mmm (139)
offset from the most stable computed form = 0.0000 eV per atom
energy of formation = -46 meV per atom
raw total energy = -36.29 eV for the cell shown
total magnetic moment = 0.006 μB per formula unit



[6]
VASP calculation (PBEsol) on TlPRh2 after structural relaxation. Values from VASP.

Cell and atoms, written as Quantum ESPRESSO input:
```
&SYSTEM
  ibrav = 0, nat = 4, ntyp = 3
/
ATOMIC_SPECIES
Tl 204.38 Tl.upf
P 30.97 P.upf
Rh 102.91 Rh.upf
CELL_PARAMETERS angstrom
0.000 3.126 3.126
3.126 0.000 3.126
3.126 3.126 0.000
ATOMIC_POSITIONS crystal
Tl 0.000 0.000 0.000
P 0.500 0.500 0.500
Rh 0.250 0.250 0.250
Rh 0.750 0.750 0.750
```

symmetry = Fm-3m (225)
energy of formation = 162 meV per atom
raw total energy = -24.05 eV for the cell shown
total magnetic moment = 0.008 μB per formula unit



[7]
VASP calculation (PBEsol) on Ca5TiSn4B10O30 after structural relaxation. Values from VASP.

Cell and atoms, written as Quantum ESPRESSO input:
```
&SYSTEM
  ibrav = 0, nat = 50, ntyp = 5
/
ATOMIC_SPECIES
Ca 40.08 Ca.upf
Ti 47.87 Ti.upf
Sn 118.71 Sn.upf
B 10.81 B.upf
O 16.00 O.upf
CELL_PARAMETERS angstrom
4.863 0.000 0.000
-0.003 6.012 0.000
-2.428 -2.178 18.627
ATOMIC_POSITIONS crystal
Ca 0.000 0.000 0.000
Ca 0.202 0.802 0.401
Ca 0.404 0.602 0.805
Ca 0.596 0.398 0.195
Ca 0.798 0.198 0.599
Ti 0.500 0.500 0.000
Sn 0.104 0.901 0.200
Sn 0.302 0.699 0.601
Sn 0.698 0.301 0.399
Sn 0.896 0.099 0.800
B 0.043 0.475 0.093
B 0.150 0.330 0.303
B 0.247 0.274 0.496
B 0.348 0.127 0.705
B 0.446 0.077 0.898
B 0.554 0.923 0.102
B 0.652 0.873 0.295
B 0.753 0.726 0.504
B 0.850 0.670 0.697
B 0.957 0.525 0.907
O 0.035 0.415 0.844
O 0.058 0.161 0.443
O 0.066 0.141 0.708
O 0.132 0.655 0.694
O 0.157 0.384 0.556
O 0.158 0.634 0.957
O 0.245 0.217 0.243
O 0.255 0.961 0.846
O 0.274 0.949 0.108
O 0.321 0.458 0.085
O 0.335 0.442 0.356
O 0.364 0.199 0.958
O 0.443 0.015 0.645
O 0.467 0.759 0.241
O 0.473 0.744 0.509
O 0.527 0.256 0.491
O 0.533 0.241 0.759
O 0.557 0.985 0.355
O 0.636 0.801 0.042
O 0.665 0.558 0.644
O 0.679 0.542 0.915
O 0.726 0.051 0.892
O 0.745 0.039 0.154
O 0.755 0.783 0.757
O 0.842 0.366 0.043
O 0.843 0.616 0.444
O 0.868 0.345 0.306
O 0.934 0.859 0.292
O 0.942 0.839 0.557
O 0.965 0.585 0.156
```

ΔE_f (raw) = -2.520 eV per atom
symmetry = P-1 (2)
raw total energy = -389.67 eV for the cell shown
total magnetic moment = 0.001 μB per formula unit



[8]
VASP calculation (PBEsol) on Tl2CrFe after structural relaxation. Values from VASP.

Cell and atoms, written as Quantum ESPRESSO input:
```
&SYSTEM
  ibrav = 0, nat = 4, ntyp = 3
/
ATOMIC_SPECIES
Tl 204.38 Tl.upf
Cr 52.00 Cr.upf
Fe 55.84 Fe.upf
CELL_PARAMETERS angstrom
3.207 0.000 0.000
0.000 3.624 0.000
0.000 0.000 6.105
ATOMIC_POSITIONS crystal
Tl 0.000 0.000 0.243
Tl 0.000 0.000 0.757
Cr 0.500 0.500 0.500
Fe 0.500 0.500 0.000
```

symmetry = Pmmm (47)
energy of formation = 707 meV per atom
raw total energy = -21.64 eV for the cell shown
total magnetic moment = 5.872 μB per formula unit



[9]
VASP calculation (PBEsol) on Cd3SbC after structural relaxation. Values from VASP.

Cell and atoms, written as Quantum ESPRESSO input:
```
&SYSTEM
  ibrav = 0, nat = 5, ntyp = 3
/
ATOMIC_SPECIES
Cd 112.41 Cd.upf
Sb 121.76 Sb.upf
C 12.01 C.upf
CELL_PARAMETERS angstrom
4.631 0.000 0.000
0.000 4.631 0.000
0.000 0.000 4.631
ATOMIC_POSITIONS crystal
Cd 0.000 0.000 0.500
Cd 0.000 0.500 0.000
Cd 0.500 0.000 0.000
Sb 0.500 0.500 0.500
C 0.000 0.000 0.000
```

ΔE_f (raw) = 0.726 eV per atom
symmetry = Pm-3m (221)
raw total energy = -14.16 eV for the cell shown
total magnetic moment = 0.000 μB per formula unit



[10]
VASP calculation (PBEsol) on NaCl after structural relaxation. Values from VASP.

Cell and atoms, written as Quantum ESPRESSO input:
```
&SYSTEM
  ibrav = 0, nat = 2, ntyp = 2
/
ATOMIC_SPECIES
Na 22.99 Na.upf
Cl 35.45 Cl.upf
CELL_PARAMETERS angstrom
0.000 2.798 2.798
2.798 0.000 2.798
2.798 2.798 0.000
ATOMIC_POSITIONS crystal
Na 0.000 0.000 0.000
Cl 0.500 0.500 0.500
```

ΔE_f (raw) = -1.795 eV per atom
symmetry = Fm-3m (225)
raw total energy = -7.00 eV for the cell shown
total magnetic moment = 0.000 μB per formula unit



[11]
VASP calculation (PBEsol) on SrCuS2N after structural relaxation. Values from VASP.

Cell and atoms, written as Quantum ESPRESSO input:
```
&SYSTEM
  ibrav = 0, nat = 5, ntyp = 4
/
ATOMIC_SPECIES
Sr 87.62 Sr.upf
Cu 63.55 Cu.upf
S 32.06 S.upf
N 14.01 N.upf
CELL_PARAMETERS angstrom
4.771 0.000 0.000
0.000 4.771 0.000
0.000 0.000 3.760
ATOMIC_POSITIONS crystal
Sr 0.000 0.000 0.000
Cu 0.500 0.500 0.500
S 0.000 0.500 0.500
S 0.500 0.000 0.500
N 0.500 0.500 0.000
```

ΔE_f (raw) = -0.178 eV per atom
symmetry = P4/mmm (123)
raw total energy = -24.36 eV for the cell shown
total magnetic moment = 1.519 μB per formula unit



[12]
VASP calculation (PBEsol) on KSmSe2O8 after structural relaxation. Values from VASP.

Cell and atoms, written as Quantum ESPRESSO input:
```
&SYSTEM
  ibrav = 0, nat = 48, ntyp = 4
/
ATOMIC_SPECIES
K 39.10 K.upf
Sm 150.36 Sm.upf
Se 78.96 Se.upf
O 16.00 O.upf
CELL_PARAMETERS angstrom
8.778 0.000 0.000
0.000 7.267 0.000
-0.213 0.000 10.926
ATOMIC_POSITIONS crystal
K 0.067 0.144 0.341
K 0.067 0.356 0.841
K 0.933 0.644 0.159
K 0.933 0.856 0.659
Sm 0.444 0.664 0.653
Sm 0.444 0.836 0.153
Sm 0.556 0.164 0.847
Sm 0.556 0.336 0.347
Se 0.222 0.659 0.412
Se 0.222 0.841 0.912
Se 0.314 0.162 0.608
Se 0.314 0.338 0.108
Se 0.686 0.662 0.892
Se 0.686 0.838 0.392
Se 0.778 0.159 0.088
Se 0.778 0.341 0.588
O 0.088 0.521 0.363
O 0.088 0.979 0.863
O 0.128 0.152 0.600
O 0.128 0.348 0.100
O 0.199 0.744 0.049
O 0.199 0.756 0.549
O 0.258 0.676 0.810
O 0.258 0.824 0.310
O 0.369 0.159 0.197
O 0.369 0.341 0.697
O 0.384 0.543 0.449
O 0.384 0.957 0.949
O 0.386 0.161 0.469
O 0.386 0.339 0.969
O 0.398 0.506 0.192
O 0.398 0.994 0.692
O 0.602 0.006 0.308
O 0.602 0.494 0.808
O 0.614 0.661 0.031
O 0.614 0.839 0.531
O 0.616 0.043 0.051
O 0.616 0.457 0.551
O 0.631 0.659 0.303
O 0.631 0.841 0.803
O 0.742 0.176 0.690
O 0.742 0.324 0.190
O 0.801 0.244 0.451
O 0.801 0.256 0.951
O 0.872 0.652 0.900
O 0.872 0.848 0.400
O 0.912 0.021 0.137
O 0.912 0.479 0.637
```

ΔE_f (raw) = -1.562 eV per atom
symmetry = P2_1/c (14)
raw total energy = -298.66 eV for the cell shown
total magnetic moment = 0.001 μB per formula unit



Question: raw total energy of number 12 (KSmSe2O8)?
Answer: -298.66 eV for the cell shown



Repeat the third record exactly.
VASP calculation (PBEsol) on BeIr2O after structural relaxation. Values from VASP.

Cell and atoms, written as Quantum ESPRESSO input:
```
&SYSTEM
  ibrav = 0, nat = 8, ntyp = 3
/
ATOMIC_SPECIES
Be 9.01 Be.upf
Ir 192.22 Ir.upf
O 16.00 O.upf
CELL_PARAMETERS angstrom
-2.471 2.471 4.427
2.471 -2.471 4.427
2.471 2.471 -4.427
ATOMIC_POSITIONS crystal
Be 0.000 0.000 0.000
Be 0.750 0.250 0.500
Ir 0.147 0.625 0.022
Ir 0.375 0.397 0.522
Ir 0.603 0.125 0.978
Ir 0.875 0.853 0.478
O 0.250 0.750 0.500
O 0.500 0.500 0.000
```

ΔE_f (raw) = 0.646 eV per atom
symmetry = I-42d (122)
raw total energy = -52.63 eV for the cell shown
total magnetic moment = 0.000 μB per formula unit



Question: Look up the total magnetic moment of the fifth one.
Answer: 0.006 μB per formula unit